Entry 1:
PmHoThTl: optimized geometry, GGA-PBE.

The structure belongs to space group F-43m (No. 216); the cell edges are 7.7950, 7.7950 and 7.7950 Å and the angles 90.00°, 90.00° and 90.00°. The inequivalent atoms are Pm at (0.0000, 0.0000, 0.0000), Ho at (0.0000, 0.0000, 0.5000), Th at (0.2500, 0.2500, 0.7500) and Tl at (0.2500, 0.2500, 0.2500).

Its density of states at the Fermi level is 1.74 states/eV per atom. The calculation puts the total moment at 0.0 μB/f.u. The calculation puts the calculated total energy at -4.723 eV/atom. The calculation puts the energy of formation at 55 meV/atom. The volume is 29.6 Å³ per atom.

---

Entry 2:
GeRhO2: optimized geometry, GGA-PBE.

The structure belongs to space group I-42d (No. 122); the cell edges are 5.0117, 5.0117 and 8.7299 Å and the angles 90.00°, 90.00° and 90.00°. The inequivalent atoms are Ge at (0.0000, 0.0000, 0.0000), Rh at (0.0000, 0.0000, 0.5000) and O at (0.1696, 0.2500, 0.1250).

Its density of states at the Fermi level is 0.53 states/eV per atom. Its raw formation energy is -0.33 eV per atom. The calculation puts the total moment at 1.4 μB/f.u. The calculation puts the calculated total energy at -5.800 eV/atom. The volume is 13.7 Å³ per atom.